# Mn3NF

A geometry-optimized Mn3NF structure (GGA+U, Alexandria).

Lattice parameters (Å, degrees): 4.2327 4.2327 4.2327 90.00 90.00 90.00
Space group Pm-3m (No. 221)
One atom of each set of equivalent atoms:
Mn (0.0000, 0.0000, 0.5000)
N (0.0000, 0.0000, 0.0000)
F (0.5000, 0.5000, 0.5000)

size of the total moment: 13.26 μB/f.u.
energy relative to the lowest polymorph listed for this composition: 0.000 eV per atom
density of states at the Fermi level: 0.389 states/eV/atom